Here is an optimized crystal structure of Mg2CoMo from Alexandria via LeMat-Bulk. Energies are from GGA-PBE.

```
Mg2CoMo
1.0
-1.712 -2.981 -2.782
-1.297 -2.463 3.436
-1.229 4.239 -0.272
Co Mg Mo
1 2 1
Direct
0.750 0.250 0.500
0.000 0.000 0.000
0.250 0.750 0.500
0.500 0.500 0.000
```

Output
Density of states at the Fermi level ... 4.979 states/eV per cell
Space group ... F-43m
Crystal system ... cubic
Excess energy over the best structure of this formula in the dataset ... 0.230 eV per atom
ρ ... 5.5 g/cm³
M_tot ... 1.01 μB/f.u.
Energy of formation from the pure elements ... 1.365 eV/f.u.



Here is an optimized crystal structure of Nd7ErTm12 from Alexandria via LeMat-Bulk. Energies are from GGA-PBE.

```
Nd7ErTm12
1.0
8.415 1.296 1.945
-1.095 8.443 1.945
-1.095 -1.457 8.541
Nd Er Tm
7 1 12
Direct
0.844 0.602 0.921
0.398 0.079 0.156
0.079 0.156 0.398
0.500 0.500 0.500
0.921 0.844 0.602
0.602 0.921 0.844
0.156 0.398 0.079
0.000 0.000 0.000
0.856 0.254 0.728
0.746 0.272 0.144
0.617 0.136 0.498
0.864 0.502 0.383
0.272 0.144 0.746
0.502 0.383 0.864
0.498 0.617 0.136
0.728 0.856 0.254
0.136 0.498 0.617
0.383 0.864 0.502
0.254 0.728 0.856
0.144 0.746 0.272
```

Output
Density of states at the Fermi level ... 35.263 states/eV per cell
Space group ... R-3
Crystal system ... trigonal
Excess energy over the best structure of this formula in the dataset ... 0.000 eV per atom
ρ ... 8.0 g/cm³
M_tot ... 0.00 μB/f.u.
Energy of formation from the pure elements ... 4.598 eV/f.u.



Here is an optimized crystal structure of CuCBr2 from Alexandria via LeMat-Bulk. Energies are from GGA-PBE.

```
CuCBr2
1.0
5.232 0.000 0.000
0.000 5.232 0.000
2.616 2.616 6.505
C Cu Br
2 2 4
Direct
0.500 0.500 0.000
0.250 0.750 0.500
0.000 0.000 0.000
0.750 0.250 0.500
0.610 0.125 0.250
0.140 0.625 0.250
0.375 0.390 0.750
0.875 0.860 0.750
```

Output
Density of states at the Fermi level ... 0.238 states/eV per cell
Space group ... I-42d
Crystal system ... tetragonal
Excess energy over the best structure of this formula in the dataset ... 0.000 eV per atom
ρ ... 4.4 g/cm³
Energy relative to the elements, uncorrected ... 127 kJ per mole of atoms
M_tot ... 1.00 μB/f.u.



Here is an optimized crystal structure of RbGdHg2 from Alexandria via LeMat-Bulk. Energies are from GGA-PBE.

```
RbGdHg2
1.0
-0.300 2.889 -2.858
-2.952 -0.204 -2.801
-7.015 6.086 3.984
Gd Hg Rb
1 2 1
Direct
0.000 0.000 0.000
0.737 0.737 0.790
0.263 0.263 0.210
0.500 0.500 0.500
```

Output
Density of states at the Fermi level ... 4.686 states/eV per cell
Space group ... R-3m
Crystal system ... trigonal
Excess energy over the best structure of this formula in the dataset ... 0.121 eV per atom
ρ ... 7.6 g/cm³
M_tot ... 7.62 μB/f.u.
Energy of formation from the pure elements ... -0.601 eV/f.u.



Here is an optimized crystal structure of PmSc2Tl2 from Alexandria via LeMat-Bulk. Energies are from GGA-PBE.

```
PmSc2Tl2
1.0
-4.542 2.890 3.394
-4.647 -0.685 -1.859
-4.559 -5.638 6.602
Pm Sc Tl
2 4 4
Direct
0.785 0.931 0.353
0.215 0.069 0.647
0.733 0.570 0.128
0.744 0.748 0.760
0.256 0.252 0.240
0.267 0.430 0.872
0.242 0.860 0.038
0.694 0.365 0.576
0.758 0.140 0.962
0.306 0.635 0.424
```

Output
Density of states at the Fermi level ... 7.945 states/eV per cell
Space group ... P-1
Crystal system ... triclinic
Excess energy over the best structure of this formula in the dataset ... 0.000 eV per atom
ρ ... 8.2 g/cm³
M_tot ... 0.00 μB/f.u.
Energy of formation from the pure elements ... -1.228 eV/f.u.



Here is an optimized crystal structure of BeAg2Ir from Alexandria via LeMat-Bulk. Energies are from GGA-PBE.

```
BeAg2Ir
1.0
-0.162 -3.345 -4.333
3.430 -0.718 4.208
-0.773 -2.463 1.083
Be Ir Ag
1 1 2
Direct
0.500 0.000 0.500
0.000 0.500 0.500
0.000 0.000 0.000
0.500 0.500 0.000
```

Output
Density of states at the Fermi level ... 2.576 states/eV per cell
Space group ... C2/m
Crystal system ... monoclinic
ρ ... 11.4 g/cm³
M_tot ... 0.28 μB/f.u.
Energy of formation from the pure elements ... 1.391 eV/f.u.



Which of these has the lowest density of states at the Fermi level?
CuCBr2